VASP calculation (PBE+U) on a relaxed ScMn2F crystal.

VASP energy (eV per formula unit): -22.27
Size of the total moment (Bohr magnetons per cell): 8.323
Fermi-level density of states (states/eV/atom): 1.074
Energy above the lowest structure with this stoichiometry (eV/atom): 0.604
Theoretical density (Mg/m³): 3.58

```
ScMn2F
1.0
0.000 3.429 3.429
3.429 0.000 3.429
3.429 3.429 0.000
Sc Mn F
1 2 1
direct
0.500 0.500 0.500
0.250 0.250 0.250
0.750 0.750 0.750
0.000 0.000 0.000
```